Entry 1:
This record from Alexandria via LeMat-Bulk describes a PBEsol-optimized structure of Ti3MnNi. The functional is meta-GGA SCAN.

Lattice parameters (Å, degrees): 4.357 4.357 4.357 90.00 90.00 90.00
Positions (direct):
Ti: 0.000 0.500 0.000
Ti: 0.500 0.000 0.000
Ti: 0.000 0.000 0.500
Ni: 0.500 0.500 0.500
Mn: 0.000 0.000 0.000

Results
Total energy   -15.94 eV per atom
Magnetization   0.00 μB per cell
Crystal system   cubic


Entry 2:
This record from Alexandria via LeMat-Bulk describes a PBEsol-optimized structure of MnNi2W. The functional is meta-GGA SCAN.

Lattice parameters (Å, degrees): 3.521 3.521 3.749 90.00 90.00 90.00
Positions (direct):
W: 0.500 0.500 0.500
Ni: 0.500 0.000 0.000
Ni: 0.000 0.500 0.000
Mn: 0.000 0.000 0.500

Results
Magnetization   1.01 μB per cell
Crystal system   tetragonal
Distance to the lowest polymorph of the same formula   0.20 eV/f.u.


Entry 3:
This record from Alexandria via LeMat-Bulk describes a PBEsol-optimized structure of MnNi2W. The functional is meta-GGA SCAN.

Lattice parameters (Å, degrees): 4.113 4.113 4.113 60.00 60.00 60.00
Positions (direct):
Mn: 0.000 0.000 0.000
Ni: 0.750 0.750 0.750
Ni: 0.250 0.250 0.250
W: 0.500 0.500 0.500

Results
Magnetization   4.28 μB per cell
Crystal system   cubic
Distance to the lowest polymorph of the same formula   0.47 eV/f.u.


Entry 4:
This record from Alexandria via LeMat-Bulk describes a PBEsol-optimized structure of MnNi2W. The functional is meta-GGA SCAN.

Lattice parameters (Å, degrees): 4.056 4.056 4.056 60.00 60.00 60.00
Positions (direct):
Ni: 0.750 0.750 0.750
Ni: 0.000 0.000 0.000
Mn: 0.500 0.500 0.500
W: 0.250 0.250 0.250

Results
Magnetization   1.59 μB per cell
Crystal system   cubic
Distance to the lowest polymorph of the same formula   0.65 eV/f.u.


Entry 5:
This record from Alexandria via LeMat-Bulk describes a PBEsol-optimized structure of MnNiW2. The functional is meta-GGA SCAN.

Lattice parameters (Å, degrees): 2.613 2.613 7.782 90.00 90.00 90.00
Positions (direct):
Mn: 0.500 0.500 0.000
W: 0.000 0.000 0.745
W: 0.000 0.000 0.255
Ni: 0.500 0.500 0.500

Results
Magnetization   1.60 μB per cell
Crystal system   tetragonal
Distance to the lowest polymorph of the same formula   0.00 eV/f.u.


Entry 6:
This record from Alexandria via LeMat-Bulk describes a PBEsol-optimized structure of Mn2NiW. The functional is meta-GGA SCAN.

Lattice parameters (Å, degrees): 2.636 4.415 4.377 100.77 90.00 107.37
Positions (direct):
Mn: 0.252 0.504 0.763
Mn: 0.991 0.983 0.972
Ni: 0.505 0.011 0.504
W: 0.751 0.502 0.261

Results
Total energy   -30.47 eV per atom
Magnetization   0.51 μB per cell
Crystal system   monoclinic


Entry 7:
This record from Alexandria via LeMat-Bulk describes a PBEsol-optimized structure of MnNi2W. The functional is meta-GGA SCAN.

Lattice parameters (Å, degrees): 2.579 4.457 4.457 111.59 90.00 90.00
Positions (direct):
W: 0.500 0.500 0.500
Ni: 0.000 0.000 0.500
Ni: 0.000 0.500 0.000
Mn: 0.500 0.000 0.000

Results
Magnetization   3.37 μB per cell
Crystal system   orthorhombic
Distance to the lowest polymorph of the same formula   0.24 eV/f.u.


Entry 8:
This record from Alexandria via LeMat-Bulk describes a PBEsol-optimized structure of MnNiW2. The functional is meta-GGA SCAN.

Lattice parameters (Å, degrees): 2.697 4.570 4.556 99.81 90.00 107.17
Positions (direct):
Ni: 0.756 0.513 0.238
Mn: 0.490 0.980 0.506
W: 0.243 0.486 0.721
W: 0.010 0.021 0.035

Results
Magnetization   1.83 μB per cell
Crystal system   monoclinic
Distance to the lowest polymorph of the same formula   0.29 eV/f.u.


Copy entry 6 word for word.
This record from Alexandria via LeMat-Bulk describes a PBEsol-optimized structure of Mn2NiW. The functional is meta-GGA SCAN.

Lattice parameters (Å, degrees): 2.636 4.415 4.377 100.77 90.00 107.37
Positions (direct):
Mn: 0.252 0.504 0.763
Mn: 0.991 0.983 0.972
Ni: 0.505 0.011 0.504
W: 0.751 0.502 0.261

Results
Total energy   -30.47 eV per atom
Magnetization   0.51 μB per cell
Crystal system   monoclinic